This record from the Open Quantum Materials Database describes crystalline TaCuB4 at its relaxed geometry. The functional is GGA-PBE.

Calculated values
VASP energy = -43.25 eV per cell
Size of the total moment = 0.0 μB/f.u.
Relative energy among the computed polymorphs = 3 meV per atom

Unit cell a=4.5704 b=4.5704 c=4.5704 alpha=141.10 beta=111.67 gamma=81.52
Positions (direct):
Cu1 0.0000 0.0000 0.0000
Ta1 0.5000 0.5000 0.0000
B1 0.5686 0.2416 0.3270
B2 0.4314 0.7584 0.6730
B3 0.9146 0.2416 0.6730
B4 0.0854 0.7584 0.3270